## Tl2NiMoF6 (GGA+U)

Data for an optimized crystal structure of Tl2NiMoF6.

Output
The space-group type is No. 71. Its total energy is -4.526 eV/atom. Its total moment is 4.0 μB per formula unit.

POSCAR file:
```
Tl2NiMoF6
1.0
-3.1405 3.1615 4.1831
3.1405 -3.1615 4.1831
3.1405 3.1615 -4.1831
Tl Ni Mo F
2 1 1 6
Cartesian
0.0000 0.0000 2.0944
0.0000 0.0000 6.2718
0.0000 3.1615 0.0000
3.1405 0.0000 0.0000
1.6521 1.4871 0.0000
4.6289 1.4871 0.0000
3.1405 0.0000 2.1078
0.0000 3.1615 2.0753
-1.4884 1.6744 4.1831
1.4884 1.6744 4.1831
```